Run 1
This record from Alexandria via LeMat-Bulk describes a relaxed structure of LiCaI2. The functional is PBE.

Unit cell a=6.9630 b=6.9630 c=13.0785 alpha=90.00 beta=90.00 gamma=90.00
With the nearest neighbours (Å) after each atom.
Atoms (fractional coordinates):
Li  0.0000  0.0000  0.0000  4 I 2.79
Li  0.0000  0.5000  0.2500  4 I 2.79
Li  0.5000  0.0000  0.7500  4 I 2.79
Li  0.5000  0.5000  0.5000  4 I 2.79
Ca  0.0000  0.0000  0.5000  4 I 3.14
Ca  0.0000  0.5000  0.7500  4 I 3.14
Ca  0.5000  0.0000  0.2500  4 I 3.14
Ca  0.5000  0.5000  0.0000  4 I 3.14
I  0.2062  0.2500  0.1250  2 Li 2.79
I  0.2500  0.7062  0.3750  2 Li 2.79
I  0.2500  0.7938  0.8750  2 Li 2.79
I  0.2938  0.2500  0.6250  2 Li 2.79
I  0.7062  0.7500  0.6250  2 Li 2.79
I  0.7500  0.2062  0.8750  2 Li 2.79
I  0.7500  0.2938  0.3750  2 Li 2.79
I  0.7938  0.7500  0.1250  2 Li 2.79

***

Run 2
This record from Alexandria via LeMat-Bulk describes a relaxed structure of LiCaI2. The functional is PBE.

Unit cell a=4.1529 b=4.1529 c=25.1549 alpha=90.00 beta=90.00 gamma=120.00
With the nearest neighbours (Å) after each atom.
Atoms (fractional coordinates):
Li  0.0000  0.0000  0.0000  6 I 2.98
Li  0.3333  0.6667  0.6667  6 I 2.98
Li  0.6667  0.3333  0.3333  6 I 2.98
Ca  0.0000  0.0000  0.5000  6 I 3.41
Ca  0.3333  0.6667  0.1667  6 I 3.41
Ca  0.6667  0.3333  0.8333  6 I 3.41
I  0.0000  0.0000  0.2628  3 Li 2.98
I  0.0000  0.0000  0.7372  3 Li 2.98
I  0.3333  0.6667  0.4038  3 Li 2.98
I  0.3333  0.6667  0.9295  3 Li 2.98
I  0.6667  0.3333  0.0705  3 Li 2.98
I  0.6667  0.3333  0.5962  3 Li 2.98

***

Run 3
This record from Alexandria via LeMat-Bulk describes a relaxed structure of LiCaI2. The functional is PBE.

Unit cell a=7.8352 b=7.8352 c=7.8352 alpha=90.00 beta=90.00 gamma=90.00
With the nearest neighbours (Å) after each atom.
Atoms (fractional coordinates):
Li  0.0000  0.0000  0.0000  8 I 3.39
Li  0.0000  0.5000  0.5000  8 I 3.39
Li  0.5000  0.0000  0.5000  8 I 3.39
Li  0.5000  0.5000  0.0000  8 I 3.39
Ca  0.0000  0.0000  0.5000  8 I 3.39
Ca  0.0000  0.5000  0.0000  8 I 3.39
Ca  0.5000  0.0000  0.0000  8 I 3.39
Ca  0.5000  0.5000  0.5000  8 I 3.39
I  0.2500  0.2500  0.2500  4 Li 3.39, 4 Ca 3.39
I  0.2500  0.2500  0.7500  4 Li 3.39, 4 Ca 3.39
I  0.2500  0.7500  0.2500  4 Li 3.39, 4 Ca 3.39
I  0.2500  0.7500  0.7500  4 Li 3.39, 4 Ca 3.39
I  0.7500  0.2500  0.2500  4 Li 3.39, 4 Ca 3.39
I  0.7500  0.2500  0.7500  4 Li 3.39, 4 Ca 3.39
I  0.7500  0.7500  0.2500  4 Li 3.39, 4 Ca 3.39
I  0.7500  0.7500  0.7500  4 Li 3.39, 4 Ca 3.39

***

Short version: run 2 is the most stable of them.